(1)
This record from Alexandria describes a relaxed Mn2TcIr crystal. The functional is GGA-PBE.

The structure belongs to space group P4/mmm (No. 123); the cell edges are 3.767, 3.767 and 3.655 Å and the angles 90.00°, 90.00° and 90.00°. The inequivalent atoms are Mn at (0.000, 0.500, 0.000), Tc at (0.000, 0.000, 0.500) and Ir at (0.500, 0.500, 0.500).

The value obtained for the calculated density is 12.8 Mg/m³. For the density of states at the Fermi level, the calculation gives 1.008 states/eV per atom. The value obtained for the energy of formation from the pure elements is -63 meV/atom.



(2)
This record from Alexandria describes a relaxed Mn2TcIr crystal. The functional is GGA-PBE.

The structure belongs to space group I-4m2 (No. 119); the cell edges are 3.751, 3.751 and 7.559 Å and the angles 90.00°, 90.00° and 90.00°. The inequivalent atoms are Mn at (0.000, 0.000, 0.000), Mn at (0.000, 0.500, 0.250), Tc at (0.000, 0.500, 0.750) and Ir at (0.000, 0.000, 0.500).

The value obtained for the calculated density is 12.5 Mg/m³. For the density of states at the Fermi level, the calculation gives 0.902 states/eV per atom. The value obtained for the energy of formation from the pure elements is -127 meV/atom.



(3)
This record from Alexandria describes a relaxed Mn2TcIr crystal. The functional is GGA-PBE.

The structure belongs to space group R3m (No. 160, hexagonal axes); the cell edges are 2.6544, 2.6544 and 25.3467 Å and the angles 90.00°, 90.00° and 120.00°. The inequivalent atoms are Mn at (0.0000, 0.0000, 0.0000), Mn at (0.0000, 0.0000, 0.2571), Tc at (0.0000, 0.0000, 0.7497) and Ir at (0.0000, 0.0000, 0.5073).

The value obtained for the calculated density is 12.9 Mg/m³. For the density of states at the Fermi level, the calculation gives 1.166 states/eV per atom. The value obtained for the energy of formation from the pure elements is 89 meV/atom.



(4)
This record from Alexandria describes a relaxed MnTc2Ir crystal. The functional is GGA-PBE.

The structure belongs to space group Cmmm (No. 65); the cell edges are 5.352, 7.748 and 2.689 Å and the angles 90.00°, 90.00° and 90.00°. The inequivalent atoms are Mn at (0.000, 0.000, 0.000), Tc at (0.250, 0.250, 0.500) and Ir at (0.000, 0.500, 0.000).

The value obtained for the calculated density is 13.2 Mg/m³. The calculation puts the polymorph energy (0 for the lowest one) at 0.016 eV/atom. For the density of states at the Fermi level, the calculation gives 0.978 states/eV per atom. The value obtained for the energy of formation from the pure elements is -61 meV/atom.



(5)
This record from Alexandria describes a relaxed Mn2TcIr crystal. The functional is GGA-PBE.

The structure belongs to space group F-43m (No. 216); the cell edges are 6.035, 6.035 and 6.035 Å and the angles 90.00°, 90.00° and 90.00°. The inequivalent atoms are Mn at (0.000, 0.000, 0.000), Mn at (0.250, 0.250, 0.250), Tc at (0.000, 0.000, 0.500) and Ir at (0.250, 0.250, 0.750).

The value obtained for the calculated density is 12.1 Mg/m³. For the density of states at the Fermi level, the calculation gives 1.691 states/eV per atom. The value obtained for the energy of formation from the pure elements is 163 meV/atom.



(6)
This record from Alexandria describes a relaxed MnTc2Ir crystal. The functional is GGA-PBE.

The structure belongs to space group Amm2 (No. 38); the cell edges are 4.150, 2.691 and 9.987 Å and the angles 90.00°, 90.00° and 90.00°. The inequivalent atoms are Mn at (0.000, 0.000, 0.000), Tc at (0.000, 0.000, 0.253), Tc at (0.500, 0.000, 0.600) and Ir at (0.500, 0.000, 0.865).

The value obtained for the calculated density is 13.2 Mg/m³. The calculation puts the polymorph energy (0 for the lowest one) at 0.036 eV/atom. For the density of states at the Fermi level, the calculation gives 0.978 states/eV per atom. The value obtained for the energy of formation from the pure elements is -41 meV/atom.



(7)
This record from Alexandria describes a relaxed MnTc2Ir crystal. The functional is GGA-PBE.

The structure belongs to space group C2/m (No. 12); the cell edges are 9.019, 2.706 and 4.644 Å and the angles 90.00°, 99.67° and 90.00°. The inequivalent atoms are Mn at (0.000, 0.000, 0.000), Tc at (0.248, 0.000, 0.752) and Ir at (0.000, 0.500, 0.500).

The value obtained for the calculated density is 13.2 Mg/m³. The calculation puts the polymorph energy (0 for the lowest one) at 0.052 eV/atom. For the density of states at the Fermi level, the calculation gives 1.138 states/eV per atom. The value obtained for the energy of formation from the pure elements is -26 meV/atom.



(8)
This record from Alexandria describes a relaxed Mn2TcIr crystal. The functional is GGA-PBE.

The structure belongs to space group Cmm2 (No. 35); the cell edges are 2.830, 4.479 and 8.602 Å and the angles 90.00°, 90.00° and 90.00°. The inequivalent atoms are Mn at (0.000, 0.000, 0.000), Mn at (0.000, 0.500, 0.238), Tc at (0.000, 0.500, 0.765) and Ir at (0.000, 0.000, 0.489).

The value obtained for the calculated density is 12.2 Mg/m³. For the density of states at the Fermi level, the calculation gives 1.250 states/eV per atom. The value obtained for the energy of formation from the pure elements is 236 meV/atom.



(9)
This record from Alexandria describes a relaxed MnTc2Ir crystal. The functional is GGA-PBE.

The structure belongs to space group P4mm (No. 99); the cell edges are 2.697, 2.697 and 7.596 Å and the angles 90.00°, 90.00° and 90.00°. The inequivalent atoms are Mn at (0.000, 0.000, 0.000), Tc at (0.000, 0.000, 0.502), Tc at (0.500, 0.500, 0.238) and Ir at (0.500, 0.500, 0.760).

The value obtained for the calculated density is 13.3 Mg/m³. The calculation puts the polymorph energy (0 for the lowest one) at 0.056 eV/atom. For the density of states at the Fermi level, the calculation gives 1.088 states/eV per atom. The value obtained for the energy of formation from the pure elements is -21 meV/atom.



(10)
This record from Alexandria describes a relaxed MnTc2Ir2 crystal. The functional is GGA-PBE.

The structure belongs to space group P4/mbm (No. 127); the cell edges are 7.526, 7.526 and 2.745 Å and the angles 90.00°, 90.00° and 90.00°. The inequivalent atoms are Mn at (0.000, 0.000, 0.000), Tc at (0.172, 0.328, 0.500) and Ir at (0.124, 0.624, 0.000).

The value obtained for the calculated density is 13.6 Mg/m³. For the density of states at the Fermi level, the calculation gives 0.879 states/eV per atom. The value obtained for the energy of formation from the pure elements is 120 meV/atom.



(11)
This record from Alexandria describes a relaxed Mn2TcIr crystal. The functional is GGA-PBE.

The structure belongs to space group P4/mmm (No. 123); the cell edges are 4.266, 4.266 and 3.018 Å and the angles 90.00°, 90.00° and 90.00°. The inequivalent atoms are Mn at (0.000, 0.500, 0.000), Tc at (0.000, 0.000, 0.500) and Ir at (0.500, 0.500, 0.500).

The value obtained for the calculated density is 12.1 Mg/m³. For the density of states at the Fermi level, the calculation gives 0.785 states/eV per atom. The value obtained for the energy of formation from the pure elements is -63 meV/atom.



(12)
This record from Alexandria describes a relaxed Mn2TcIr crystal. The functional is GGA-PBE.

The structure belongs to space group I4/mmm (No. 139); the cell edges are 3.768, 3.768 and 7.311 Å and the angles 90.00°, 90.00° and 90.00°. The inequivalent atoms are Mn at (0.000, 0.500, 0.250), Tc at (0.000, 0.000, 0.000) and Ir at (0.000, 0.000, 0.500).

The value obtained for the calculated density is 12.8 Mg/m³. For the density of states at the Fermi level, the calculation gives 1.107 states/eV per atom. The value obtained for the energy of formation from the pure elements is -43 meV/atom.



(13)
This record from Alexandria describes a relaxed Mn2TcIr crystal. The functional is GGA-PBE.

The structure belongs to space group P4mm (No. 99); the cell edges are 2.667, 2.667 and 7.475 Å and the angles 90.00°, 90.00° and 90.00°. The inequivalent atoms are Mn at (0.000, 0.000, 0.000), Mn at (0.500, 0.500, 0.228), Tc at (0.000, 0.000, 0.485) and Ir at (0.500, 0.500, 0.745).

The value obtained for the calculated density is 12.5 Mg/m³. For the density of states at the Fermi level, the calculation gives 1.122 states/eV per atom. The value obtained for the energy of formation from the pure elements is -35 meV/atom.



(14)
This record from Alexandria describes a relaxed MnTc2Ir crystal. The functional is GGA-PBE.

The structure belongs to space group R3m (No. 160, hexagonal axes); the cell edges are 2.7205, 2.7205 and 26.1830 Å and the angles 90.00°, 90.00° and 120.00°. The inequivalent atoms are Mn at (0.0000, 0.0000, 0.0000), Tc at (0.0000, 0.0000, 0.2512), Tc at (0.0000, 0.0000, 0.5004) and Ir at (0.0000, 0.0000, 0.7462).

The value obtained for the calculated density is 13.2 Mg/m³. The calculation puts the polymorph energy (0 for the lowest one) at 0.101 eV/atom. For the density of states at the Fermi level, the calculation gives 1.014 states/eV per atom. The value obtained for the energy of formation from the pure elements is 24 meV/atom.